# 1
# TaB2I

A relaxed TaB2I crystal (GGA-PBE, the Alexandria database).

Summary:
**Formation energy (no corrections)**: 5.22 eV per formula unit
**Polymorph energy (0 for the lowest one)**: 0 meV/atom

Unit cell a=5.447 b=5.447 c=6.449 alpha=65.02 beta=65.02 gamma=90.00
Element x y z (fractional)
I 0.250 0.750 0.500
Ta 0.000 0.000 0.000
B 0.089 0.625 0.250
B 0.375 0.339 0.750
I 0.500 0.500 0.000
B 0.875 0.911 0.750
B 0.661 0.125 0.250
Ta 0.750 0.250 0.500

---

# 2
# TaBI2

A relaxed TaBI2 crystal (GGA-PBE, the Alexandria database).

Summary:
**Formation energy (no corrections)**: 5.59 eV per formula unit
**Polymorph energy (0 for the lowest one)**: 0 meV/atom

Unit cell a=4.858 b=4.858 c=4.858 alpha=60.00 beta=60.00 gamma=60.00
Element x y z (fractional)
I 0.250 0.250 0.250
Ta 0.500 0.500 0.500
I 0.750 0.750 0.750
B 0.000 0.000 0.000

---

# 3
# TaB2I

A relaxed TaB2I crystal (GGA-PBE, the Alexandria database).

Summary:
**Formation energy (no corrections)**: 7.43 eV per formula unit
**Polymorph energy (0 for the lowest one)**: 552 meV/atom

Unit cell a=4.323 b=4.323 c=4.323 alpha=60.00 beta=60.00 gamma=60.00
Element x y z (fractional)
B 0.750 0.750 0.750
Ta 0.500 0.500 0.500
I 0.000 0.000 0.000
B 0.250 0.250 0.250

---

# 4
# TaBI2

A relaxed TaBI2 crystal (GGA-PBE, the Alexandria database).

Summary:
**Formation energy (no corrections)**: 6.70 eV per formula unit
**Polymorph energy (0 for the lowest one)**: 276 meV/atom

Unit cell a=6.191 b=6.191 c=7.024 alpha=63.85 beta=63.85 gamma=90.00
Element x y z (fractional)
I 0.153 0.625 0.250
Ta 0.750 0.250 0.500
B 0.250 0.750 0.500
I 0.597 0.125 0.250
B 0.500 0.500 0.000
Ta 0.000 0.000 0.000
I 0.375 0.403 0.750
I 0.875 0.847 0.750